# 1
Material: NdTmTl
Method: DFT, PBE-GGA
State: optimized geometry

Results
**DFT formation energy**: -26 meV per atom
**Calculated total energy**: -3.894 eV/atom
**V**: 33.97 Å³/atom
**Crystal system**: cubic

a = 7.4149 Å, b = 7.4149 Å, c = 7.4149 Å
α = 90.00°, β = 90.00°, γ = 90.00°
Space group F-43m (No. 216)
Inequivalent atoms, fractional coordinates:
Nd 0.0000 0.0000 0.0000
Tm 0.0000 0.0000 0.5000
Tl 0.2500 0.2500 0.2500

***

# 2
Material: NbVMoIr
Method: DFT, PBE-GGA
State: optimized geometry

Results
**DFT formation energy**: -272 meV per atom
**Calculated total energy**: -9.992 eV/atom
**V**: 15.49 Å³/atom
**Crystal system**: cubic

a = 6.2812 Å, b = 6.2812 Å, c = 6.2812 Å
α = 90.00°, β = 90.00°, γ = 90.00°
Space group F-43m (No. 216)
Inequivalent atoms, fractional coordinates:
Nb 0.0000 0.0000 0.0000
V 0.0000 0.0000 0.5000
Mo 0.2500 0.2500 0.7500
Ir 0.2500 0.2500 0.2500

***

# 3
Material: Tl2CdGa
Method: DFT, PBE-GGA
State: optimized geometry

Results
**DFT formation energy**: 133 meV per atom
**Calculated total energy**: -2.035 eV/atom
**V**: 26.96 Å³/atom
**Crystal system**: trigonal

a = 3.3128 Å, b = 3.3128 Å, c = 34.0418 Å
α = 90.00°, β = 90.00°, γ = 120.00°
Space group R-3m (No. 166, hexagonal axes)
Inequivalent atoms, fractional coordinates:
Tl 0.0000 0.0000 0.0856
Cd 0.0000 0.0000 0.5000
Ga 0.0000 0.0000 0.0000

***

# 4
Material: HoWC
Method: DFT, PBE-GGA
State: optimized geometry

Results
**DFT formation energy**: 363 meV per atom
**Calculated total energy**: -8.555 eV/atom
**V**: 16.81 Å³/atom
**Crystal system**: hexagonal

a = 3.6271 Å, b = 3.6271 Å, c = 4.4272 Å
α = 90.00°, β = 90.00°, γ = 120.00°
Space group P-6m2 (No. 187)
Inequivalent atoms, fractional coordinates:
Ho 0.0000 0.0000 0.0000
W 0.6667 0.3333 0.5000
C 0.3333 0.6667 0.5000

***

# 5
Material: ZrPa2Co2
Method: DFT, PBE-GGA
State: optimized geometry

Results
**DFT formation energy**: -255 meV per atom
**Calculated total energy**: -8.605 eV/atom
**V**: 19.17 Å³/atom
**Crystal system**: triclinic

a = 3.4531 Å, b = 6.1214 Å, c = 9.7779 Å
α = 97.45°, β = 100.11°, γ = 106.36°
Space group P-1 (No. 2)
Inequivalent atoms, fractional coordinates:
Zr 0.1638 0.4678 0.3593
Pa 0.1545 0.0980 0.7122
Pa 0.4079 0.2305 0.0850
Co 0.1377 0.6655 0.1107
Co 0.4504 0.8354 0.5654

***

# 6
Material: Sr2GaPd2
Method: DFT, PBE-GGA
State: optimized geometry

Results
**DFT formation energy**: -302 meV per atom
**Calculated total energy**: -3.657 eV/atom
**V**: 26.88 Å³/atom
**Crystal system**: tetragonal

a = 3.8398 Å, b = 3.8398 Å, c = 18.2309 Å
α = 90.00°, β = 90.00°, γ = 90.00°
Space group I4/mmm (No. 139)
Inequivalent atoms, fractional coordinates:
Sr 0.0000 0.0000 0.1154
Ga 0.0000 0.0000 0.5000
Pd 0.0000 0.5000 0.2500